Entry 1:
Here is a geometry-optimized TcHgAs structure from Alexandria. Energies are from PBE-GGA.

Structure (POSCAR):
```
TcHgAs
1.0
-3.184 5.006 -4.941
-4.941 2.588 -4.985
-1.049 2.243 1.675
As Hg Tc
1 1 1
Direct
0.031 0.031 0.969 As
0.317 0.317 0.683 Hg
0.652 0.652 0.348 Tc
```

Properties
theoretical density: 10.42 Mg/m³
formation energy: 368 meV/atom
crystal system: orthorhombic
energy above the most stable polymorph in this dataset: 221 meV per atom



Entry 2:
Here is a geometry-optimized Ta3NbCd structure from Alexandria. Energies are from PBE-GGA.

Structure (POSCAR):
```
Ta3NbCd
1.0
-2.254 3.652 -2.377
-1.802 -3.218 -3.235
-3.967 -0.613 2.820
Nb Cd Ta
1 1 3
Direct
0.000 0.000 0.000 Nb
0.500 0.500 0.500 Cd
0.000 0.500 0.000 Ta
0.000 0.000 0.500 Ta
0.500 0.000 0.000 Ta
```

Properties
theoretical density: 10.52 Mg/m³
formation energy: 1546 meV/atom
crystal system: cubic
energy above the most stable polymorph in this dataset: 0 meV per atom



Entry 3:
Here is a geometry-optimized CaDyGaIr structure from Alexandria. Energies are from PBE-GGA.

Structure (POSCAR):
```
CaDyGaIr
1.0
-2.085 -3.235 -3.106
2.239 -1.130 -4.263
2.011 -4.475 -0.627
Ca Ir Ga Dy
1 1 1 1
Direct
0.500 0.500 0.500 Ca
0.250 0.250 0.250 Ir
0.750 0.750 0.750 Ga
0.000 0.000 0.000 Dy
```

Properties
theoretical density: 9.02 Mg/m³
formation energy: -497 meV/atom
crystal system: cubic
energy above the most stable polymorph in this dataset: 122 meV per atom



Entry 4:
Here is a geometry-optimized LiZnCdSi structure from Alexandria. Energies are from PBE-GGA.

Structure (POSCAR):
```
LiZnCdSi
1.0
-0.275 4.565 0.003
-0.379 2.270 -3.952
-3.938 2.054 -1.089
Zn Li Si Cd
1 1 1 1
Direct
0.000 0.000 0.000 Zn
0.500 0.500 0.500 Li
0.750 0.750 0.750 Si
0.250 0.250 0.250 Cd
```

Properties
final energy: -0.08456 Ha/atom
theoretical density: 5.23 Mg/m³
crystal system: cubic



Among the records above, which one has the lowest theoretical density?
LiZnCdSi